First-principles (GGA+U) data for a geometry-optimized CsCrBiF6 structure, as listed in Alexandria.

The structure belongs to space group P1 (No. 1); the cell edges are 5.943, 6.107 and 6.278 Å and the angles 88.99°, 88.97° and 61.56°. Symmetry generates all atoms from Cs at (0.000, 0.000, 0.000), Cr at (0.340, 0.323, 0.479), Bi at (0.680, 0.663, 0.500), F at (0.049, 0.575, 0.294), F at (0.051, 0.322, 0.655), F at (0.370, 0.637, 0.682), F at (0.446, 0.948, 0.266), F at (0.612, 0.035, 0.656) and F at (0.612, 0.383, 0.314).

The total DFT energy (no corrections) comes out at -5.185 eV/atom. The calculation puts the spin magnetization at 4.0 μB/f.u.